Here is an optimized crystal structure of DyTmAgHg from Alexandria via LeMat-Bulk. Energies are from PBE.

It has space group F-43m (No. 216), with a = 7.309 Å, b = 7.309 Å, c = 7.309 Å, α = 90.00°, β = 90.00° and γ = 90.00°. The inequivalent atoms are Dy at (0.000, 0.000, 0.000), Tm at (0.000, 0.000, 0.500), Ag at (0.250, 0.250, 0.750) and Hg at (0.250, 0.250, 0.250).

As for the formation energy: -405 meV per atom. The calculation puts the total magnetic moment at 0.0000 μB/atom.